[1]
This record from the Alexandria database describes CaNd6Y4 after structural relaxation. The functional is PBE.

Cell: 9.4445 9.4445 5.3618 Å, 90.00 90.00 120.00°
Space group P-6m2 (No. 187)
Unique sites:
1 Ca 0.0000 0.0000 0.0000
2 Nd 0.2037 0.4073 0.5000
3 Nd 0.5330 0.0661 0.0000
4 Y 0.3333 0.6667 0.0000
5 Y 0.4165 0.2082 0.5000

Calculated values
Polymorph energy (0 for the lowest one)   0 meV/atom
Magnetization   0.00 μB/cell
Energy of formation   0.3483 eV/atom

---

[2]
This record from the Alexandria database describes ZrNiW2 after structural relaxation. The functional is PBE.

Cell: 2.8431 2.8431 28.2640 Å, 90.00 90.00 120.00°
Space group R3m (No. 160, hexagonal axes)
Unique sites:
1 Zr 0.0000 0.0000 0.0000
2 Ni 0.0000 0.0000 0.7494
3 W 0.0000 0.0000 0.2390
4 W 0.0000 0.0000 0.4870

Calculated values
Polymorph energy (0 for the lowest one)   301 meV/atom
Magnetization   0.00 μB/cell
Energy of formation   0.3355 eV/atom

---

[3]
This record from the Alexandria database describes NpTl2ZnS4 after structural relaxation. The functional is PBE.

Cell: 11.2413 11.9895 8.2272 Å, 90.00 132.31 90.00°
Space group C2/c (No. 15)
Unique sites:
1 Np 0.0000 0.0000 0.0000
2 Tl 0.0000 0.5000 0.0000
3 Tl 0.2500 0.2500 0.0000
4 Zn 0.2500 0.2500 0.5000
5 S 0.0401 0.2282 0.4940
6 S 0.2071 0.0041 0.4444

Calculated values
Magnetization   12.00 μB/cell
Formation energy from raw total energies   -0.68 eV/atom

---

[4]
This record from the Alexandria database describes Er2CdPt after structural relaxation. The functional is PBE.

Cell: 3.5645 3.5645 7.2646 Å, 90.00 90.00 90.00°
Space group P4/mmm (No. 123)
Unique sites:
1 Er 0.0000 0.0000 0.2235
2 Cd 0.5000 0.5000 0.5000
3 Pt 0.5000 0.5000 0.0000

Calculated values
Polymorph energy (0 for the lowest one)   0 meV/atom
Magnetization   0.00 μB/cell
Energy of formation   -0.8111 eV/atom

---

[5]
This record from the Alexandria database describes Ca2ScPt after structural relaxation. The functional is PBE.

Cell: 4.3360 4.3360 10.2239 Å, 90.00 90.00 90.00°
Space group I4/mmm (No. 139)
Unique sites:
1 Ca 0.0000 0.5000 0.2500
2 Sc 0.0000 0.0000 0.0000
3 Pt 0.0000 0.0000 0.5000

Calculated values
Polymorph energy (0 for the lowest one)   338 meV/atom
Magnetization   0.00 μB/cell
Energy of formation   -0.2162 eV/atom

---

[6]
This record from the Alexandria database describes NdPtRh after structural relaxation. The functional is PBE.

Cell: 4.0106 4.0106 14.9858 Å, 90.00 90.00 120.00°
Space group R3m (No. 160, hexagonal axes)
Unique sites:
1 Nd 0.0000 0.0000 0.0000
2 Pt 0.0000 0.0000 0.2064
3 Rh 0.0000 0.0000 0.7925

Calculated values
Polymorph energy (0 for the lowest one)   631 meV/atom
Magnetization   0.00 μB/cell
Energy of formation   -0.2437 eV/atom

---

Copy entry 4 word for word.
This record from the Alexandria database describes Er2CdPt after structural relaxation. The functional is PBE.

Cell: 3.5645 3.5645 7.2646 Å, 90.00 90.00 90.00°
Space group P4/mmm (No. 123)
Unique sites:
1 Er 0.0000 0.0000 0.2235
2 Cd 0.5000 0.5000 0.5000
3 Pt 0.5000 0.5000 0.0000

Calculated values
Polymorph energy (0 for the lowest one)   0 meV/atom
Magnetization   0.00 μB/cell
Energy of formation   -0.8111 eV/atom